No. 1
An optimized crystal structure of La2RuBr, computed with PBEsol. Values from VASP.

Values from the calculation:
Symmetry = P4/mmm (123)
DOS at the Fermi energy = 0.34 states/eV/atom
Uncorrected formation energy = -77 kJ/mol of atoms
Excess energy over the best structure of this formula in the dataset = 0.0502 eV per atom
ρ = 7862 kg/m³

Quantum ESPRESSO input file:
```
&SYSTEM
  ibrav = 0, nat = 4, ntyp = 3
/
ATOMIC_SPECIES
Ru 101.07 Ru.upf
Br 79.90 Br.upf
La 138.91 La.upf
CELL_PARAMETERS angstrom
-1.271 2.539 1.928
-2.459 0.540 -2.333
-4.863 -5.381 3.882
ATOMIC_POSITIONS crystal
Ru 0.500 0.500 0.000
Br 0.500 0.500 0.500
La 0.000 0.000 0.786
La 0.000 0.000 0.214
```



No. 2
An optimized crystal structure of MnCdP2, computed with PBEsol. Values from VASP.

Values from the calculation:
Symmetry = F-43m (216)
DOS at the Fermi energy = 0.81 states/eV/atom
Energy of formation = 597 meV/atom
ρ = 5958 kg/m³

Quantum ESPRESSO input file:
```
&SYSTEM
  ibrav = 0, nat = 4, ntyp = 3
/
ATOMIC_SPECIES
Cd 112.41 Cd.upf
Mn 54.94 Mn.upf
P 30.97 P.upf
CELL_PARAMETERS angstrom
-3.898 1.372 -1.749
-3.008 -3.014 -1.418
-3.818 -0.603 2.279
ATOMIC_POSITIONS crystal
Cd 0.500 0.500 0.500
Mn 0.250 0.250 0.250
P 0.000 0.000 0.000
P 0.750 0.750 0.750
```



No. 3
An optimized crystal structure of BaTe3, computed with PBEsol. Values from VASP.

Values from the calculation:
Symmetry = Fm-3m (225)
DOS at the Fermi energy = 1.57 states/eV/atom
Uncorrected formation energy = -46 kJ/mol of atoms
ρ = 6660 kg/m³

Quantum ESPRESSO input file:
```
&SYSTEM
  ibrav = 0, nat = 4, ntyp = 2
/
ATOMIC_SPECIES
Ba 137.33 Ba.upf
Te 127.60 Te.upf
CELL_PARAMETERS angstrom
-1.612 -5.159 -1.752
3.873 -3.686 -1.920
1.326 -4.588 3.078
ATOMIC_POSITIONS crystal
Ba 0.000 0.000 0.000
Te 0.250 0.250 0.250
Te 0.500 0.500 0.500
Te 0.750 0.750 0.750
```



No. 4
An optimized crystal structure of BeCd2Br, computed with PBEsol. Values from VASP.

Values from the calculation:
Symmetry = Cmmm (65)
DOS at the Fermi energy = 0.31 states/eV/atom
Uncorrected formation energy = 21 kJ/mol of atoms
ρ = 6523 kg/m³

Quantum ESPRESSO input file:
```
&SYSTEM
  ibrav = 0, nat = 4, ntyp = 3
/
ATOMIC_SPECIES
Be 9.01 Be.upf
Br 79.90 Br.upf
Cd 112.41 Cd.upf
CELL_PARAMETERS angstrom
3.267 0.303 0.000
-1.244 3.036 0.000
0.000 0.000 7.758
ATOMIC_POSITIONS crystal
Be 0.500 0.500 0.500
Br 0.500 0.500 0.000
Cd 0.000 0.000 0.286
Cd 0.000 0.000 0.714
```



No. 5
An optimized crystal structure of MgAg4, computed with PBEsol. Values from VASP.

Values from the calculation:
Symmetry = C2/m (12)
DOS at the Fermi energy = 0.29 states/eV/atom
Energy of formation = -103 meV/atom
ρ = 8913 kg/m³

Quantum ESPRESSO input file:
```
&SYSTEM
  ibrav = 0, nat = 5, ntyp = 2
/
ATOMIC_SPECIES
Mg 24.30 Mg.upf
Ag 107.87 Ag.upf
CELL_PARAMETERS angstrom
-0.619 -2.522 -1.444
3.361 -0.493 -3.637
4.225 -4.096 2.285
ATOMIC_POSITIONS crystal
Mg 0.000 0.500 0.500
Ag 0.399 0.301 0.901
Ag 0.801 0.097 0.300
Ag 0.199 0.903 0.700
Ag 0.601 0.699 0.099
```



No. 6
An optimized crystal structure of YCo2B4Rh2, computed with PBEsol. Values from VASP.

Values from the calculation:
Symmetry = P4_2mc (105)
DOS at the Fermi energy = 0.62 states/eV/atom
Energy of formation = -572 meV/atom
ρ = 8017 kg/m³

Quantum ESPRESSO input file:
```
&SYSTEM
  ibrav = 0, nat = 18, ntyp = 4
/
ATOMIC_SPECIES
Y 88.91 Y.upf
Co 58.93 Co.upf
B 10.81 B.upf
Rh 102.91 Rh.upf
CELL_PARAMETERS angstrom
5.149 0.000 0.000
0.000 5.149 0.000
0.000 0.000 7.124
ATOMIC_POSITIONS crystal
Y 0.500 0.000 0.256
Y 0.000 0.500 0.756
Co 0.752 0.500 0.109
Co 0.248 0.500 0.109
Co 0.500 0.752 0.609
Co 0.500 0.248 0.609
B 0.334 0.500 0.406
B 0.666 0.500 0.406
B 0.500 0.334 0.906
B 0.500 0.666 0.906
B 0.185 0.000 0.593
B 0.815 0.000 0.593
B 0.000 0.185 0.093
B 0.000 0.815 0.093
Rh 0.747 0.000 0.889
Rh 0.253 0.000 0.889
Rh 0.000 0.747 0.389
Rh 0.000 0.253 0.389
```



No. 7
An optimized crystal structure of Ba5Mg3, computed with PBEsol. Values from VASP.

Values from the calculation:
Symmetry = P6_3/mcm (193)
DOS at the Fermi energy = 1.32 states/eV/atom
Energy of formation = 16 meV/atom
Excess energy over the best structure of this formula in the dataset = 0.0143 eV per atom
ρ = 3438 kg/m³

Quantum ESPRESSO input file:
```
&SYSTEM
  ibrav = 0, nat = 16, ntyp = 2
/
ATOMIC_SPECIES
Ba 137.33 Ba.upf
Mg 24.30 Mg.upf
CELL_PARAMETERS angstrom
-6.352 -1.720 -3.144
3.875 -9.742 -2.500
-5.064 1.539 9.389
ATOMIC_POSITIONS crystal
Ba 0.750 0.000 0.254
Ba 0.250 0.000 0.746
Ba 0.750 0.746 0.746
Ba 0.250 0.746 0.000
Ba 0.000 0.667 0.333
Ba 0.500 0.667 0.333
Ba 0.000 0.333 0.667
Ba 0.500 0.333 0.667
Ba 0.250 0.254 0.254
Ba 0.750 0.254 0.000
Mg 0.250 0.000 0.406
Mg 0.750 0.000 0.594
Mg 0.250 0.594 0.594
Mg 0.750 0.594 0.000
Mg 0.750 0.406 0.406
Mg 0.250 0.406 0.000
```



No. 8
An optimized crystal structure of CuPtAu2, computed with PBEsol. Values from VASP.

Values from the calculation:
Symmetry = P4mm (99)
DOS at the Fermi energy = 0.36 states/eV/atom
Energy of formation = -45 meV/atom
Excess energy over the best structure of this formula in the dataset = 0.0000 eV per atom
ρ = 17993 kg/m³

Quantum ESPRESSO input file:
```
&SYSTEM
  ibrav = 0, nat = 4, ntyp = 3
/
ATOMIC_SPECIES
Au 196.97 Au.upf
Cu 63.55 Cu.upf
Pt 195.08 Pt.upf
CELL_PARAMETERS angstrom
-1.624 1.990 1.193
-2.222 -0.917 -1.497
-1.765 -4.759 5.533
ATOMIC_POSITIONS crystal
Au 0.000 0.000 0.994
Au 0.500 0.500 0.274
Cu 0.000 0.000 0.507
Pt 0.500 0.500 0.726
```